No. 1
VASP calculation (GGA-PBE) on an optimized crystal structure of CrAg2Os.

Properties
Uncorrected energy = -5.999 eV/atom
DOS(E_F) = 3.3 states/eV/cell
SG = Pmmm (47)
Relative energy among the computed polymorphs = 325.8 meV/atom
Calculated formation energy = 0.640 eV per atom

The structure in POSCAR format:
```
CrAg2Os
1.0
-2.7102 0.7498 -0.7323
-1.6355 -3.1520 2.8255
-0.0698 3.2592 3.5954
Ag Cr Os
2 1 1
Cartesian
0.0000 0.0000 0.0000
-2.1729 -1.2011 1.0466
-1.3900 2.0045 1.4315
-0.8527 0.0536 3.2105
```

No. 2
VASP calculation (GGA-PBE) on an optimized crystal structure of Ba2MnSnPd6.

Properties
Uncorrected energy = -5.241 eV/atom
DOS(E_F) = 3.8 states/eV/cell
SG = P-1 (2)
Calculated formation energy = -0.424 eV per atom

The structure in POSCAR format:
```
Ba2MnSnPd6
1.0
6.8964 -0.0040 0.0097
-0.0108 6.8475 -0.0217
3.4309 3.3844 4.8624
Ba Mn Sn Pd
2 1 1 6
Cartesian
6.8846 2.7331 1.9584
3.4319 7.4949 2.8920
0.0000 0.0000 0.0000
3.4428 3.4218 -0.0060
3.9563 4.2665 2.5030
4.5158 5.8805 0.2334
1.8300 5.3502 0.9704
8.4864 4.8777 3.8800
5.8007 4.3474 4.6170
6.3602 5.9615 2.3474
```

DOS(E_F) of number 2 (Ba2MnSnPd6)? 3.8 states/eV/cell